Entry 1:
# SrAl8Ag6 (PBE, relaxed)
# **N(E_F)**: 16.066 states/eV per cell
# **Energy**: -3.30 eV per atom
data_SrAl8Ag6
_chemical_formula_sum 'Sr3 Al24 Ag18'
_cell_length_a 8.0598
_cell_length_b 8.0598
_cell_length_c 15.4197
_cell_angle_alpha 90.00
_cell_angle_beta 90.00
_cell_angle_gamma 120.00
_space_group_name_H-M_alt 'R -3'
_space_group_IT_number 148
_space_group_name_Hall '-R 3'
loop_
_atom_site_label
_atom_site_type_symbol
_atom_site_fract_x
_atom_site_fract_y
_atom_site_fract_z
_atom_site_occupancy
Sr1 Sr 0.0000 0.0000 0.0000 1
Al1 Al 0.0000 0.0000 0.2225 1
Al2 Al 0.0013 0.3310 0.5265 1
Ag1 Ag 0.0222 0.8016 0.6366 1

***

Entry 2:
# SrAl2Ag10 (PBE, relaxed)
# **N(E_F)**: 11.641 states/eV per cell
# **Energy**: -3.01 eV per atom
data_SrAl2Ag10
_chemical_formula_sum 'Sr4 Al8 Ag40'
_cell_length_a 5.4568
_cell_length_b 13.2578
_cell_length_c 13.9260
_cell_angle_alpha 90.00
_cell_angle_beta 90.00
_cell_angle_gamma 90.00
_space_group_name_H-M_alt 'F m m m'
_space_group_IT_number 69
_space_group_name_Hall '-F 2 2'
loop_
_atom_site_label
_atom_site_type_symbol
_atom_site_fract_x
_atom_site_fract_y
_atom_site_fract_z
_atom_site_occupancy
Sr1 Sr 0.0000 0.0000 0.0000 1
Al1 Al 0.2500 0.0000 0.2500 1
Ag1 Ag 0.0000 0.1084 0.3846 1
Ag2 Ag 0.0000 0.1716 0.1776 1
Ag3 Ag 0.2500 0.2500 0.0000 1

***

Entry 3:
# SrAl2Ag2 (PBE, relaxed)
# **N(E_F)**: 5.000 states/eV per cell
# **Energy**: -3.22 eV per atom
data_SrAl2Ag2
_chemical_formula_sum 'Sr2 Al4 Ag4'
_cell_length_a 4.3807
_cell_length_b 4.3807
_cell_length_c 11.7613
_cell_angle_alpha 90.00
_cell_angle_beta 90.00
_cell_angle_gamma 90.00
_space_group_name_H-M_alt 'I 4/m m m'
_space_group_IT_number 139
_space_group_name_Hall '-I 4 2'
loop_
_atom_site_label
_atom_site_type_symbol
_atom_site_fract_x
_atom_site_fract_y
_atom_site_fract_z
_atom_site_occupancy
Sr1 Sr 0.0000 0.0000 0.0000 1
Al1 Al 0.0000 0.5000 0.2500 1
Ag1 Ag 0.0000 0.0000 0.3782 1

***

Entry 4:
# SrAl4Ag (PBE, relaxed)
# **N(E_F)**: 16.526 states/eV per cell
# **Energy**: -3.25 eV per atom
data_SrAl4Ag
_chemical_formula_sum 'Sr4 Al16 Ag4'
_cell_length_a 7.9816
_cell_length_b 7.9816
_cell_length_c 7.9816
_cell_angle_alpha 90.00
_cell_angle_beta 90.00
_cell_angle_gamma 90.00
_space_group_name_H-M_alt 'F -4 3 m'
_space_group_IT_number 216
_space_group_name_Hall 'F -4 2 3'
loop_
_atom_site_label
_atom_site_type_symbol
_atom_site_fract_x
_atom_site_fract_y
_atom_site_fract_z
_atom_site_occupancy
Sr1 Sr 0.0000 0.0000 0.0000 1
Al1 Al 0.1255 0.1255 0.3745 1
Ag1 Ag 0.2500 0.2500 0.7500 1

***

Entry 5:
# Sr3Al4Ag (PBE, relaxed)
# **N(E_F)**: 7.787 states/eV per cell
# **Energy**: -3.07 eV per atom
data_Sr3Al4Ag
_chemical_formula_sum 'Sr6 Al8 Ag2'
_cell_length_a 5.8990
_cell_length_b 12.2940
_cell_length_c 6.3911
_cell_angle_alpha 90.00
_cell_angle_beta 90.00
_cell_angle_gamma 90.00
_space_group_name_H-M_alt 'P m m n'
_space_group_IT_number 59
loop_
_space_group_symop_operation_xyz
'x,y,z'
'-x,-y,-z'
'-x+1/2,-y+1/2,z'
'x+1/2,y+1/2,-z'
'x+1/2,-y,-z'
'-x+1/2,y,z'
'-x,y+1/2,-z'
'x,-y+1/2,z'
loop_
_atom_site_label
_atom_site_type_symbol
_atom_site_fract_x
_atom_site_fract_y
_atom_site_fract_z
_atom_site_occupancy
Sr1 Sr 0.2500 0.0069 0.1923 1
Sr2 Sr 0.2500 0.7500 0.5309 1
Al1 Al 0.0030 0.7500 0.0326 1
Al2 Al 0.2500 0.1346 0.6893 1
Ag1 Ag 0.2500 0.2500 0.3213 1

***

Entry 6:
# SrAl6Ag6 (PBE, relaxed)
# **N(E_F)**: 4.806 states/eV per cell
# **Energy**: -3.32 eV per atom
data_SrAl6Ag6
_chemical_formula_sum 'Sr2 Al12 Ag12'
_cell_length_a 5.4571
_cell_length_b 9.2356
_cell_length_c 9.5204
_cell_angle_alpha 90.00
_cell_angle_beta 90.00
_cell_angle_gamma 90.00
_space_group_name_H-M_alt 'I m m m'
_space_group_IT_number 71
_space_group_name_Hall '-I 2 2'
loop_
_atom_site_label
_atom_site_type_symbol
_atom_site_fract_x
_atom_site_fract_y
_atom_site_fract_z
_atom_site_occupancy
Sr1 Sr 0.0000 0.0000 0.0000 1
Al1 Al 0.0000 0.2667 0.5000 1
Al2 Al 0.2500 0.2500 0.2500 1
Ag1 Ag 0.0000 0.0000 0.3479 1
Ag2 Ag 0.0000 0.3414 0.0000 1
Ag3 Ag 0.0000 0.5000 0.2994 1

***

Entry 7:
# Sr3Al8Ag3 (PBE, relaxed)
# **N(E_F)**: 7.828 states/eV per cell
# **Energy**: -3.33 eV per atom
data_Sr3Al8Ag3
_chemical_formula_sum 'Sr6 Al16 Ag6'
_cell_length_a 16.6618
_cell_length_b 4.5197
_cell_length_c 10.3371
_cell_angle_alpha 90.00
_cell_angle_beta 127.82
_cell_angle_gamma 90.00
_space_group_name_H-M_alt 'C 1 2/m 1'
_space_group_IT_number 12
loop_
_space_group_symop_operation_xyz
'x,y,z'
'-x,-y,-z'
'-x,y,-z'
'x,-y,z'
'x+1/2,y+1/2,z'
'-x+1/2,-y+1/2,-z'
'-x+1/2,y+1/2,-z'
'x+1/2,-y+1/2,z'
loop_
_atom_site_label
_atom_site_type_symbol
_atom_site_fract_x
_atom_site_fract_y
_atom_site_fract_z
_atom_site_occupancy
Sr1 Sr 0.0000 0.0000 0.0000 1
Sr2 Sr 0.2004 0.5000 0.7006 1
Al1 Al 0.0001 0.5000 0.3010 1
Al2 Al 0.1338 0.0000 0.8515 1
Al3 Al 0.1366 0.0000 0.4155 1
Al4 Al 0.1621 0.5000 0.2970 1
Ag1 Ag 0.0000 0.0000 0.5000 1
Ag2 Ag 0.1587 0.5000 0.0178 1

***

Entry 8:
# Sr2AlAg (PBE, relaxed)
# **N(E_F)**: 2.867 states/eV per cell
# **Energy**: -2.51 eV per atom
data_Sr2AlAg
_chemical_formula_sum 'Sr8 Al4 Ag4'
_cell_length_a 7.5696
_cell_length_b 7.5696
_cell_length_c 7.5696
_cell_angle_alpha 90.00
_cell_angle_beta 90.00
_cell_angle_gamma 90.00
_space_group_name_H-M_alt 'F -4 3 m'
_space_group_IT_number 216
_space_group_name_Hall 'F -4 2 3'
loop_
_atom_site_label
_atom_site_type_symbol
_atom_site_fract_x
_atom_site_fract_y
_atom_site_fract_z
_atom_site_occupancy
Sr1 Sr 0.0000 0.0000 0.0000 1
Sr2 Sr 0.2500 0.2500 0.2500 1
Al1 Al 0.2500 0.2500 0.7500 1
Ag1 Ag 0.0000 0.0000 0.5000 1